The following is a DFT calculation (PBE) of crystalline Nb2Ni5Te6 at its relaxed geometry.

Unit cell a=7.568 b=10.690 c=8.401 alpha=112.99 beta=116.40 gamma=69.69
Element x y z (fractional)
Nb 0.874 0.798 0.297
Nb 0.374 0.790 0.288
Nb 0.626 0.202 0.703
Nb 0.126 0.210 0.712
Ni 0.368 0.413 0.903
Ni 0.872 0.411 0.898
Ni 0.132 0.587 0.097
Ni 0.628 0.589 0.102
Ni 0.317 0.070 0.457
Ni 0.820 0.071 0.455
Ni 0.183 0.930 0.543
Ni 0.680 0.929 0.545
Ni 0.513 0.498 0.276
Ni 0.987 0.502 0.724
Te 0.256 0.671 0.915
Te 0.749 0.670 0.927
Te 0.244 0.329 0.085
Te 0.751 0.330 0.073
Te 0.232 0.340 0.540
Te 0.720 0.340 0.532
Te 0.268 0.660 0.460
Te 0.780 0.660 0.468
Te 0.508 0.007 0.781
Te 0.011 0.002 0.775
Te 0.992 0.993 0.219
Te 0.489 0.998 0.225

Properties
- size of the total moment (μB/atom) = 0.000
- polymorph energy (0 for the lowest one) (meV per atom) = 0
- SG = No. 2
- formation energy from raw total energies (kJ/mol of formula units) = -430.6

The following is a DFT calculation (PBE) of crystalline Nb2Ni2Te at its relaxed geometry.

Unit cell a=6.522 b=6.522 c=3.760 alpha=90.00 beta=90.00 gamma=90.00
Element x y z (fractional)
Ni 0.374 0.874 0.000
Ni 0.874 0.626 0.000
Ni 0.626 0.126 0.000
Ni 0.126 0.374 0.000
Nb 0.165 0.665 0.500
Nb 0.665 0.835 0.500
Nb 0.835 0.335 0.500
Nb 0.335 0.165 0.500
Te 0.000 0.000 0.000
Te 0.500 0.500 0.000

Properties
- size of the total moment (μB/atom) = 0.000
- SG = No. 127
- formation energy from raw total energies (kJ/mol of formula units) = -24.1

- Which of these has the lowest formation energy from raw total energies?
  Nb2Ni5Te6